(1)
IrC4 | PBEsol | relaxed

Lattice parameters (Å, degrees): 2.7560 2.7560 6.1374 90.00 90.00 120.00
Space group P-3m1 (No. 164)
Unique sites:
Ir (0.0000, 0.0000, 0.0000)
C (0.3333, 0.6667, 0.2175)
C (0.3333, 0.6667, 0.4562)

Values from the calculation:
N(E_F)	0.47	states/eV/atom
energy above the most stable polymorph in this dataset	0.000	eV/atom
ΔE_f	0.872	eV per atom

=====

(2)
ZnNi2Ir | PBEsol | relaxed

Lattice parameters (Å, degrees): 2.6734 4.2540 8.4329 90.00 90.00 90.00
Space group Imm2 (No. 44)
Unique sites:
Zn (0.0000, 0.0000, 0.0000)
Ni (0.0000, 0.0000, 0.5175)
Ni (0.0000, 0.5000, 0.2552)
Ir (0.0000, 0.5000, 0.7668)

Values from the calculation:
N(E_F)	1.30	states/eV/atom
ΔE_f	-0.047	eV per atom

=====

(3)
SrZn3I | PBEsol | relaxed

Lattice parameters (Å, degrees): 5.4050 5.4050 5.4050 90.00 90.00 90.00
Space group Pm-3m (No. 221)
Unique sites:
Sr (0.0000, 0.0000, 0.0000)
Zn (0.0000, 0.5000, 0.5000)
I (0.5000, 0.5000, 0.5000)

Values from the calculation:
formation energy without anion corrections	52.82	kJ per mole of atoms
N(E_F)	0.56	states/eV/atom

=====

(4)
Li2RhAu | PBEsol | relaxed

Lattice parameters (Å, degrees): 3.8130 3.8130 7.5516 90.00 90.00 90.00
Space group I4/mmm (No. 139)
Unique sites:
Li (0.0000, 0.5000, 0.2500)
Rh (0.0000, 0.0000, 0.0000)
Au (0.0000, 0.0000, 0.5000)

Values from the calculation:
N(E_F)	0.41	states/eV/atom
ΔE_f	-0.220	eV per atom

=====

(5)
TbAl2 | PBEsol | relaxed

Lattice parameters (Å, degrees): 7.8114 7.8114 7.8114 90.00 90.00 90.00
Space group Fd-3m (No. 227, origin choice 2)
Unique sites:
Tb (0.1250, 0.1250, 0.1250)
Al (0.0000, 0.0000, 0.5000)

Values from the calculation:
N(E_F)	0.81	states/eV/atom
ΔE_f	-0.532	eV per atom

=====

(6)
Co2WCl | PBEsol | relaxed

Lattice parameters (Å, degrees): 2.8427 2.8427 6.3393 90.00 90.00 90.00
Space group P4mm (No. 99)
Unique sites:
Co (0.0000, 0.0000, 0.0000)
Co (0.5000, 0.5000, 0.2176)
W (0.0000, 0.0000, 0.4562)
Cl (0.5000, 0.5000, 0.7289)

Values from the calculation:
formation energy without anion corrections	43.52	kJ per mole of atoms
N(E_F)	1.06	states/eV/atom
energy above the most stable polymorph in this dataset	0.000	eV/atom

=====

(7)
MnCr2Ni | PBEsol | relaxed

Lattice parameters (Å, degrees): 2.8725 3.8158 7.8170 90.00 90.00 90.00
Space group Cmm2 (No. 35)
Unique sites:
Mn (0.0000, 0.0000, 0.0000)
Cr (0.0000, 0.0000, 0.4967)
Cr (0.0000, 0.5000, 0.7522)
Ni (0.0000, 0.5000, 0.2484)

Values from the calculation:
N(E_F)	1.20	states/eV/atom
ΔE_f	0.084	eV per atom

=====

(8)
YReSeN2 | PBEsol | relaxed

Lattice parameters (Å, degrees): 3.9063 3.9063 5.1050 90.00 90.00 90.00
Space group P4/mmm (No. 123)
Unique sites:
Y (0.0000, 0.0000, 0.0000)
Re (0.5000, 0.5000, 0.5000)
Se (0.5000, 0.5000, 0.0000)
N (0.0000, 0.5000, 0.5000)

Values from the calculation:
formation energy without anion corrections	-38.91	kJ per mole of atoms
N(E_F)	0.38	states/eV/atom

=====

(9)
Zr3CuSb | PBEsol | relaxed

Lattice parameters (Å, degrees): 5.2013 5.2013 5.2013 90.00 90.00 90.00
Space group Pm-3m (No. 221)
Unique sites:
Zr (0.0000, 0.0000, 0.5000)
Cu (0.5000, 0.5000, 0.5000)
Sb (0.0000, 0.0000, 0.0000)

Values from the calculation:
formation energy without anion corrections	100.01	kJ per mole of atoms
N(E_F)	0.88	states/eV/atom

=====

(10)
FeCoBi2O6 | PBEsol | relaxed

Lattice parameters (Å, degrees): 3.7250 3.7250 8.3905 90.00 90.00 90.00
Space group P4mm (No. 99)
Unique sites:
Fe (0.0000, 0.0000, 0.0000)
Co (0.0000, 0.0000, 0.5208)
Bi (0.5000, 0.5000, 0.2324)
Bi (0.5000, 0.5000, 0.7204)
O (0.0000, 0.0000, 0.3035)
O (0.0000, 0.0000, 0.7769)
O (0.0000, 0.5000, 0.0571)
O (0.0000, 0.5000, 0.5573)

Values from the calculation:
formation energy without anion corrections	-107.82	kJ per mole of atoms
N(E_F)	0.22	states/eV/atom

=====

(11)
K3BaIr | PBEsol | relaxed

Lattice parameters (Å, degrees): 7.8015 7.8015 7.8015 90.00 90.00 90.00
Space group Pm-3m (No. 221)
Unique sites:
K (0.0000, 0.0000, 0.5000)
Ba (0.0000, 0.0000, 0.0000)
Ir (0.5000, 0.5000, 0.5000)

Values from the calculation:
N(E_F)	0.82	states/eV/atom
energy above the most stable polymorph in this dataset	1.041	eV/atom
ΔE_f	1.862	eV per atom

=====

(12)
SrIn3 | PBEsol | relaxed

Lattice parameters (Å, degrees): 4.7504 4.7504 4.7504 90.00 90.00 90.00
Space group Pm-3m (No. 221)
Unique sites:
Sr (0.0000, 0.0000, 0.0000)
In (0.0000, 0.5000, 0.5000)

Values from the calculation:
N(E_F)	0.55	states/eV/atom
ΔE_f	-0.341	eV per atom

=====

(13)
Cs3VH8Cl6O4 | PBEsol | relaxed

Lattice parameters (Å, degrees): 5.9951 8.2256 17.4989 90.00 90.00 90.00
Space group Immm (No. 71)
Unique sites:
Cs (0.0000, 0.0000, 0.0000)
Cs (0.0000, 0.5000, 0.3147)
V (0.0000, 0.0000, 0.5000)
H (0.1956, 0.4009, 0.1034)
Cl (0.0000, 0.2419, 0.1578)
Cl (0.0000, 0.2865, 0.5000)
O (0.2306, 0.0000, 0.4194)

Values from the calculation:
E	-204.6	eV for the cell shown

=====

(14)
Li2CaRh | PBEsol | relaxed

Lattice parameters (Å, degrees): 3.2557 4.6718 9.8645 90.00 90.00 90.00
Space group Immm (No. 71)
Unique sites:
Li (0.0000, 0.0000, 0.2090)
Ca (0.0000, 0.5000, 0.0000)
Rh (0.0000, 0.5000, 0.5000)

Values from the calculation:
N(E_F)	0.39	states/eV/atom
energy above the most stable polymorph in this dataset	0.000	eV/atom
ΔE_f	-0.091	eV per atom

=====

(15)
CsZrSi2 | PBEsol | relaxed

Lattice parameters (Å, degrees): 5.6576 5.6576 17.5606 90.00 90.00 90.00
Space group I4_1/amd (No. 141, origin choice 2)
Unique sites:
Cs (0.0000, 0.2500, 0.3750)
Zr (0.0000, 0.2500, 0.8750)
Si (0.0000, 0.0000, 0.0000)

Values from the calculation:
formation energy without anion corrections	44.88	kJ per mole of atoms
N(E_F)	0.98	states/eV/atom

=====

(16)
MnBrF3 | PBEsol | relaxed

Lattice parameters (Å, degrees): 4.0467 4.0467 4.0467 90.00 90.00 90.00
Space group Pm-3m (No. 221)
Unique sites:
Mn (0.0000, 0.0000, 0.0000)
Br (0.5000, 0.5000, 0.5000)
F (0.0000, 0.0000, 0.5000)

Values from the calculation:
formation energy without anion corrections	-137.38	kJ per mole of atoms
N(E_F)	0.86	states/eV/atom

=====

(17)
InNi4Ag | PBEsol | relaxed

Lattice parameters (Å, degrees): 6.7553 6.7553 6.7553 90.00 90.00 90.00
Space group F-43m (No. 216)
Unique sites:
In (0.0000, 0.0000, 0.0000)
Ni (0.1249, 0.1249, 0.3751)
Ag (0.2500, 0.2500, 0.7500)

Values from the calculation:
N(E_F)	1.15	states/eV/atom
ΔE_f	0.009	eV per atom

=====

(18)
Ba2InBiO6 | PBEsol | relaxed

Lattice parameters (Å, degrees): 8.4788 8.4788 8.4788 90.00 90.00 90.00
Space group Fm-3m (No. 225)
Unique sites:
Ba (0.2500, 0.2500, 0.2500)
In (0.0000, 0.0000, 0.0000)
Bi (0.0000, 0.0000, 0.5000)
O (0.0000, 0.0000, 0.2516)

Values from the calculation:
formation energy without anion corrections	-184.86	kJ per mole of atoms
N(E_F)	0.28	states/eV/atom

=====

(19)
CuHgSI | PBEsol | relaxed

Lattice parameters (Å, degrees): 7.0695 8.3241 6.9213 90.00 90.00 90.00
Space group Pna2_1 (No. 33)
Unique sites:
Cu (0.0816, 0.1449, 0.0000)
Hg (0.0387, 0.5586, 0.9056)
S (0.1139, 0.6572, 0.5842)
I (0.0807, 0.1218, 0.6179)

Values from the calculation:
formation energy without anion corrections	-19.97	kJ per mole of atoms

=====

(20)
AlZnAu | PBEsol | relaxed

Lattice parameters (Å, degrees): 5.9847 5.9847 5.9847 90.00 90.00 90.00
Space group F-43m (No. 216)
Unique sites:
Al (0.0000, 0.0000, 0.0000)
Zn (0.0000, 0.0000, 0.5000)
Au (0.2500, 0.2500, 0.7500)

Values from the calculation:
N(E_F)	0.34	states/eV/atom
ΔE_f	-0.285	eV per atom

=====

(21)
TlSbPb2 | PBEsol | relaxed

Lattice parameters (Å, degrees): 4.7149 4.9390 4.9538 90.00 90.00 90.00
Space group Pmmm (No. 47)
Unique sites:
Tl (0.0000, 0.0000, 0.0000)
Sb (0.0000, 0.5000, 0.5000)
Pb (0.5000, 0.0000, 0.5000)
Pb (0.5000, 0.5000, 0.0000)

Values from the calculation:
formation energy without anion corrections	1.33	kJ per mole of atoms
N(E_F)	0.53	states/eV/atom
energy above the most stable polymorph in this dataset	0.000	eV/atom

=====

(22)
Na2VBPO7 | PBEsol | relaxed

Lattice parameters (Å, degrees): 5.4407 6.3198 9.1391 90.00 93.88 90.00
Space group P2_1/m (No. 11)
Unique sites:
Na (0.2365, 0.0031, 0.2867)
V (0.2190, 0.7500, 0.8377)
B (0.2738, 0.7500, 0.5825)
P (0.2691, 0.2500, 0.9438)
O (0.0480, 0.7500, 0.6520)
O (0.1231, 0.2500, 0.0819)
O (0.1968, 0.0534, 0.8486)
O (0.3122, 0.7500, 0.4434)
O (0.4499, 0.7500, 0.0174)
O (0.4584, 0.7500, 0.7039)

Values from the calculation:
formation energy without anion corrections	-213.09	kJ per mole of atoms
N(E_F)	0.47	states/eV/atom

=====

(23)
PtAu4 | PBEsol | relaxed

Lattice parameters (Å, degrees): 6.3909 6.3909 4.0397 90.00 90.00 90.00
Space group I4/m (No. 87)
Unique sites:
Pt (0.0000, 0.0000, 0.0000)
Au (0.1011, 0.7015, 0.5000)

Values from the calculation:
N(E_F)	0.31	states/eV/atom
ΔE_f	0.028	eV per atom

=====

(24)
Sc2FeCl | PBEsol | relaxed

Lattice parameters (Å, degrees): 3.4937 3.4937 23.6409 90.00 90.00 120.00
Space group R-3m (No. 166, hexagonal axes)
Unique sites:
Sc (0.0000, 0.0000, 0.1041)
Fe (0.0000, 0.0000, 0.5000)
Cl (0.0000, 0.0000, 0.0000)

Values from the calculation:
formation energy without anion corrections	-45.40	kJ per mole of atoms
N(E_F)	0.69	states/eV/atom
energy above the most stable polymorph in this dataset	0.000	eV/atom

=====

(25)
KRbGa2N | PBEsol | relaxed

Lattice parameters (Å, degrees): 5.8510 5.8510 4.8653 90.00 90.00 90.00
Space group P4/mmm (No. 123)
Unique sites:
K (0.0000, 0.0000, 0.0000)
Rb (0.5000, 0.5000, 0.5000)
Ga (0.0000, 0.5000, 0.0000)
N (0.0000, 0.0000, 0.5000)

Values from the calculation:
formation energy without anion corrections	121.53	kJ per mole of atoms
N(E_F)	0.74	states/eV/atom

=====

(26)
YSc2Tl | PBEsol | relaxed

Lattice parameters (Å, degrees): 3.6408 5.0933 10.7679 90.00 90.00 90.00
Space group Immm (No. 71)
Unique sites:
Y (0.0000, 0.0000, 0.0000)
Sc (0.0000, 0.5000, 0.2253)
Tl (0.0000, 0.0000, 0.5000)

Values from the calculation:
N(E_F)	0.89	states/eV/atom
energy above the most stable polymorph in this dataset	0.024	eV/atom
ΔE_f	-0.215	eV per atom